Hf3FeS (GGA-PBEsol, relaxed); magnetization = 0.00 μB per formula unit; Fermi-level density of states = 4.46 states/eV per cell; calculated density = 10.0 g/cm3; E_tot = -8.79 eV/atom
1.0
4.688 0.000 0.000
0.000 4.688 0.000
0.000 0.000 4.688
Hf Fe S
3 1 1
direct
0.000 0.000 0.500 Hf
0.000 0.500 0.000 Hf
0.500 0.000 0.000 Hf
0.000 0.000 0.000 Fe
0.500 0.500 0.500 S